! LaPbAuSe2S, optimized geometry, DFT GGA-PBE; values from VASP
! space-group type	Cmcm (63)
! total magnetic moment	0.0	μB per formula unit
! calculated total energy	-4.836	eV/atom
&SYSTEM
  ibrav = 0, nat = 12, ntyp = 5
/
ATOMIC_SPECIES
S 32.06 S.upf
La 138.91 La.upf
Au 196.97 Au.upf
Se 78.96 Se.upf
Pb 207.20 Pb.upf
CELL_PARAMETERS angstrom
4.190 4.741 3.417
-5.706 -4.349 0.487
6.428 -8.065 3.307
ATOMIC_POSITIONS crystal
S 0.916 0.084 0.250
La 0.000 0.000 0.000
Au 0.472 0.528 0.750
Se 0.348 0.652 0.936
Se 0.652 0.348 0.436
Pb 0.750 0.250 0.750
Au 0.528 0.472 0.250
La 0.000 0.000 0.500
S 0.084 0.916 0.750
Se 0.348 0.652 0.564
Pb 0.250 0.750 0.250
Se 0.652 0.348 0.064

***

! K2PuCl5, optimized geometry, DFT GGA-PBE; values from VASP
! space-group type	Pnma (62)
! total magnetic moment	5.0	μB per formula unit
! calculated total energy	-5.196	eV/atom
&SYSTEM
  ibrav = 0, nat = 32, ntyp = 3
/
ATOMIC_SPECIES
Cl 35.45 Cl.upf
K 39.10 K.upf
Pu 244.00 Pu.upf
CELL_PARAMETERS angstrom
12.918 0.000 0.000
0.000 8.669 0.000
0.000 0.000 7.994
ATOMIC_POSITIONS crystal
Cl 0.298 0.250 0.165
K 0.671 0.003 0.545
Pu 0.997 0.750 0.566
Cl 0.702 0.750 0.835
Cl 0.918 0.040 0.661
Pu 0.497 0.750 0.934
K 0.671 0.497 0.545
K 0.171 0.497 0.955
Cl 0.418 0.040 0.839
Cl 0.323 0.750 0.132
Cl 0.082 0.960 0.339
Cl 0.492 0.750 0.582
Cl 0.508 0.250 0.418
K 0.329 0.503 0.455
Cl 0.008 0.250 0.082
Pu 0.003 0.250 0.434
Cl 0.677 0.250 0.868
Cl 0.582 0.960 0.161
Cl 0.177 0.250 0.632
Cl 0.823 0.750 0.368
Cl 0.992 0.750 0.918
Pu 0.503 0.250 0.066
K 0.329 0.997 0.455
K 0.171 0.003 0.955
Cl 0.202 0.750 0.665
Cl 0.582 0.540 0.161
Cl 0.418 0.460 0.839
K 0.829 0.503 0.045
K 0.829 0.997 0.045
Cl 0.918 0.460 0.661
Cl 0.082 0.540 0.339
Cl 0.798 0.250 0.335

***

Number 2 is which compound?
K2PuCl5

***

The lowest calculated total energy belongs to which entry?
K2PuCl5

***

Among the records above, which one has the lowest calculated total energy?
K2PuCl5

***

Which of these has the lowest calculated total energy?
K2PuCl5